(1)
# PBE CaCd6Hg6, optimized geometry
# Energy above the most stable polymorph in this dataset   5.3 meV per atom
# Theoretical density   9.94 g cm⁻³
# Volume   24.65 A^3/atom
# E_form   -0.08 eV per atom
# Magnetization   0.0000 μB per atom
data_CaCd6Hg6
_chemical_formula_sum 'Ca1 Cd6 Hg6'
_cell_length_a 6.1371
_cell_length_b 6.1371
_cell_length_c 9.8258
_cell_angle_alpha 90.00
_cell_angle_beta 90.00
_cell_angle_gamma 120.00
_space_group_name_H-M_alt 'P 1'
_space_group_IT_number 1
loop_
_space_group_symop_operation_xyz
'x,y,z'
loop_
_atom_site_label
_atom_site_type_symbol
_atom_site_fract_x
_atom_site_fract_y
_atom_site_fract_z
_atom_site_occupancy
Ca1 Ca 0.0000 0.0000 0.0000 1
Cd1 Cd 0.0000 0.5000 0.7518 1
Cd2 Cd 0.5000 0.0000 0.7518 1
Cd3 Cd 0.5000 0.5000 0.7518 1
Cd4 Cd 0.5000 0.0000 0.2482 1
Cd5 Cd 0.0000 0.5000 0.2482 1
Cd6 Cd 0.5000 0.5000 0.2482 1
Hg1 Hg 0.0000 0.0000 0.6512 1
Hg2 Hg 0.0000 0.0000 0.3488 1
Hg3 Hg 0.3333 0.6667 0.0000 1
Hg4 Hg 0.6667 0.3333 0.0000 1
Hg5 Hg 0.3333 0.6667 0.5000 1
Hg6 Hg 0.6667 0.3333 0.5000 1

=====

(2)
# PBE K2LiSc2, optimized geometry
# Theoretical density   1.37 g cm⁻³
# Volume   42.34 A^3/atom
# E_form   0.77 eV per atom
# Magnetization   0.1013 μB per atom
data_K2LiSc2
_chemical_formula_sum 'K4 Li2 Sc4'
_cell_length_a 11.3437
_cell_length_b 11.3437
_cell_length_c 3.2905
_cell_angle_alpha 90.00
_cell_angle_beta 90.00
_cell_angle_gamma 90.00
_space_group_name_H-M_alt 'P 1'
_space_group_IT_number 1
loop_
_space_group_symop_operation_xyz
'x,y,z'
loop_
_atom_site_label
_atom_site_type_symbol
_atom_site_fract_x
_atom_site_fract_y
_atom_site_fract_z
_atom_site_occupancy
Sc1 Sc 0.0867 0.5867 0.5000 1
Sc2 Sc 0.5867 0.9133 0.5000 1
Sc3 Sc 0.9133 0.4133 0.5000 1
Sc4 Sc 0.4133 0.0867 0.5000 1
K1 K 0.2992 0.7992 0.0000 1
K2 K 0.7992 0.7008 0.0000 1
K3 K 0.7008 0.2008 0.0000 1
K4 K 0.2008 0.2992 0.0000 1
Li1 Li 0.0000 0.0000 0.0000 1
Li2 Li 0.5000 0.5000 0.0000 1

=====

(3)
# PBE GaSb2N3, optimized geometry
# Formation energy (no corrections)   0.24 eV per atom
# Theoretical density   5.68 g cm⁻³
# Volume   17.30 A^3/atom
# Magnetization   0.0000 μB per atom
data_GaSb2N3
_chemical_formula_sum 'Ga4 Sb8 N12'
_cell_length_a 5.8046
_cell_length_b 5.8046
_cell_length_c 14.5415
_cell_angle_alpha 86.63
_cell_angle_beta 86.63
_cell_angle_gamma 121.42
_space_group_name_H-M_alt 'P 1'
_space_group_IT_number 1
loop_
_space_group_symop_operation_xyz
'x,y,z'
loop_
_atom_site_label
_atom_site_type_symbol
_atom_site_fract_x
_atom_site_fract_y
_atom_site_fract_z
_atom_site_occupancy
Ga1 Ga 0.7427 0.6454 0.3275 1
Ga2 Ga 0.3546 0.2573 0.1725 1
Ga3 Ga 0.2573 0.3546 0.6725 1
Ga4 Ga 0.6454 0.7427 0.8275 1
Sb1 Sb 0.6508 0.9153 0.0718 1
Sb2 Sb 0.0847 0.3492 0.4282 1
Sb3 Sb 0.3492 0.0847 0.9282 1
Sb4 Sb 0.9153 0.6508 0.5718 1
Sb5 Sb 0.3680 0.9918 0.3581 1
Sb6 Sb 0.0082 0.6320 0.1419 1
Sb7 Sb 0.6320 0.0082 0.6419 1
Sb8 Sb 0.9918 0.3680 0.8581 1
N1 N 0.6565 0.3435 0.2500 1
N2 N 0.3435 0.6565 0.7500 1
N3 N 0.4426 0.6798 0.3635 1
N4 N 0.3202 0.5574 0.1365 1
N5 N 0.5574 0.3202 0.6365 1
N6 N 0.6798 0.4426 0.8635 1
N7 N 0.6028 0.9247 0.9295 1
N8 N 0.0753 0.3972 0.5705 1
N9 N 0.3972 0.0753 0.0705 1
N10 N 0.9247 0.6028 0.4295 1
N11 N 0.0933 0.9067 0.2500 1
N12 N 0.9067 0.0933 0.7500 1

=====

(4)
# PBE KV2GaAs, optimized geometry
# Theoretical density   3.68 g cm⁻³
# Volume   25.78 A^3/atom
# E_form   0.90 eV per atom
# Magnetization   1.3773 μB per atom
data_KV2GaAs
_chemical_formula_sum 'K1 V2 Ga1 As1'
_cell_length_a 4.9775
_cell_length_b 5.2021
_cell_length_c 4.9775
_cell_angle_alpha 90.00
_cell_angle_beta 90.00
_cell_angle_gamma 90.00
_space_group_name_H-M_alt 'P 1'
_space_group_IT_number 1
loop_
_space_group_symop_operation_xyz
'x,y,z'
loop_
_atom_site_label
_atom_site_type_symbol
_atom_site_fract_x
_atom_site_fract_y
_atom_site_fract_z
_atom_site_occupancy
As1 As 0.0000 0.5000 0.0000 1
K1 K 0.5000 0.5000 0.5000 1
Ga1 Ga 0.0000 0.0000 0.0000 1
V1 V 0.0000 0.0000 0.5000 1
V2 V 0.5000 0.0000 0.0000 1

=====

(5)
# PBE PrHoZr, optimized geometry
# Energy above the most stable polymorph in this dataset   25.7 meV per atom
# Theoretical density   7.49 g cm⁻³
# Volume   29.35 A^3/atom
# E_form   0.13 eV per atom
# Magnetization   0.0000 μB per atom
data_PrHoZr
_chemical_formula_sum 'Pr2 Ho2 Zr2'
_cell_length_a 4.7917
_cell_length_b 3.4144
_cell_length_c 10.8989
_cell_angle_alpha 99.08
_cell_angle_beta 90.00
_cell_angle_gamma 90.00
_space_group_name_H-M_alt 'P 1'
_space_group_IT_number 1
loop_
_space_group_symop_operation_xyz
'x,y,z'
loop_
_atom_site_label
_atom_site_type_symbol
_atom_site_fract_x
_atom_site_fract_y
_atom_site_fract_z
_atom_site_occupancy
Pr1 Pr 0.3468 0.0444 0.5143 1
Pr2 Pr 0.8468 0.9454 0.3093 1
Ho1 Ho 0.3469 0.3579 0.1350 1
Ho2 Ho 0.8469 0.6319 0.6886 1
Zr1 Zr 0.8469 0.7800 0.9804 1
Zr2 Zr 0.3469 0.2098 0.8431 1

=====

(6)
# PBE Ba5Zn6, optimized geometry
# Theoretical density   4.73 g cm⁻³
# Volume   34.44 A^3/atom
# E_form   -0.16 eV per atom
# Magnetization   0.0000 μB per atom
data_Ba5Zn6
_chemical_formula_sum 'Ba5 Zn6'
_cell_length_a 4.7814
_cell_length_b 4.7824
_cell_length_c 16.7407
_cell_angle_alpha 98.21
_cell_angle_beta 90.00
_cell_angle_gamma 90.00
_space_group_name_H-M_alt 'P 1'
_space_group_IT_number 1
loop_
_space_group_symop_operation_xyz
'x,y,z'
loop_
_atom_site_label
_atom_site_type_symbol
_atom_site_fract_x
_atom_site_fract_y
_atom_site_fract_z
_atom_site_occupancy
Ba1 Ba 0.5000 0.8040 0.6080 1
Ba2 Ba 0.5000 0.1960 0.3920 1
Ba3 Ba 0.0000 0.6140 0.2280 1
Ba4 Ba 0.0000 0.3860 0.7720 1
Ba5 Ba 0.0000 0.0000 0.0000 1
Zn1 Zn 0.5000 0.5397 0.0794 1
Zn2 Zn 0.5000 0.4603 0.9206 1
Zn3 Zn 0.0000 0.7299 0.4598 1
Zn4 Zn 0.0000 0.2701 0.5402 1
Zn5 Zn 0.5000 0.9194 0.8387 1
Zn6 Zn 0.5000 0.0806 0.1613 1